A geometry-optimized YZrSb2 structure, computed with PBE.

a b c (Å): 3.8653 3.2962 7.7905
angles (deg): 90.00 90.00 90.00
With the nearest neighbours (Å) after each atom.
Sites, in units of the cell vectors:
Sb 0.0000 0.0000 0.9828  4 Zr 3.12, 4 Y 3.28, 2 Sb 3.30
Sb 0.0000 0.0000 0.5172  4 Zr 3.12, 4 Y 3.28, 2 Sb 3.30
Y 0.5000 0.5000 0.2500  8 Sb 3.28, 2 Y 3.30
Zr 0.5000 0.5000 0.7500  8 Sb 3.12, 2 Zr 3.30

- E_tot (eV per atom) = -6.466
- formation energy (no corrections) (meV per atom) = -652
- D(E_F) (states/eV per cell) = 3.2